The following is a DFT calculation (GGA-PBE) of a relaxed CsCl crystal.

* uncorrected formation energy: -1.920 eV per atom

```
data_CsCl
_space_group_name_H-M_alt 'P m -3 m'
_space_group_IT_number 221
_space_group_name_Hall '-P 4 2 3'
_cell_length_a 4.208
_cell_length_b 4.208
_cell_length_c 4.208
_cell_angle_alpha 90.00
_cell_angle_beta 90.00
_cell_angle_gamma 90.00
loop_
_atom_site_label
_atom_site_type_symbol
_atom_site_fract_x
_atom_site_fract_y
_atom_site_fract_z
Cs1 Cs 0.000 0.000 0.000
Cl1 Cl 0.500 0.500 0.500
```

=====

The following is a DFT calculation (GGA-PBE) of a relaxed Zn4InPt crystal.

* DFT formation energy: -0.1013 eV/atom

```
data_Zn4InPt
_space_group_name_H-M_alt 'F -4 3 m'
_space_group_IT_number 216
_space_group_name_Hall 'F -4 2 3'
_cell_length_a 7.244
_cell_length_b 7.244
_cell_length_c 7.244
_cell_angle_alpha 90.00
_cell_angle_beta 90.00
_cell_angle_gamma 90.00
loop_
_atom_site_label
_atom_site_type_symbol
_atom_site_fract_x
_atom_site_fract_y
_atom_site_fract_z
Zn1 Zn 0.124 0.124 0.376
In1 In 0.000 0.000 0.000
Pt1 Pt 0.250 0.250 0.750
```

=====

The following is a DFT calculation (GGA-PBE) of a relaxed Ac3Al4 crystal.

* energy relative to the lowest polymorph listed for this composition: 33 meV/atom
* DFT formation energy: -0.3095 eV/atom

```
data_Ac3Al4
_space_group_name_H-M_alt 'C m c m'
_space_group_IT_number 63
_space_group_name_Hall '-C 2c 2'
_cell_length_a 4.712
_cell_length_b 11.872
_cell_length_c 14.589
_cell_angle_alpha 90.00
_cell_angle_beta 90.00
_cell_angle_gamma 90.00
loop_
_atom_site_label
_atom_site_type_symbol
_atom_site_fract_x
_atom_site_fract_y
_atom_site_fract_z
Ac1 Ac 0.000 0.025 0.250
Ac2 Ac 0.000 0.270 0.603
Al1 Al 0.000 0.000 0.000
Al2 Al 0.000 0.318 0.250
Al3 Al 0.000 0.439 0.091
```

=====

The following is a DFT calculation (GGA-PBE) of a relaxed TmTiSb2 crystal.

* uncorrected formation energy: -0.666 eV per atom

```
data_TmTiSb2
_space_group_name_H-M_alt 'R -3 m'
_space_group_IT_number 166
_space_group_name_Hall '-R 3 2"'
_cell_length_a 4.1218
_cell_length_b 4.1218
_cell_length_c 20.5051
_cell_angle_alpha 90.00
_cell_angle_beta 90.00
_cell_angle_gamma 120.00
loop_
_atom_site_label
_atom_site_type_symbol
_atom_site_fract_x
_atom_site_fract_y
_atom_site_fract_z
Tm1 Tm 0.0000 0.0000 0.0000
Ti1 Ti 0.0000 0.0000 0.5000
Sb1 Sb 0.0000 0.0000 0.2418
```

=====

The following is a DFT calculation (GGA-PBE) of a relaxed KInIr4 crystal.

* DFT formation energy: 0.3918 eV/atom

```
data_KInIr4
_space_group_name_H-M_alt 'F -4 3 m'
_space_group_IT_number 216
_space_group_name_Hall 'F -4 2 3'
_cell_length_a 7.573
_cell_length_b 7.573
_cell_length_c 7.573
_cell_angle_alpha 90.00
_cell_angle_beta 90.00
_cell_angle_gamma 90.00
loop_
_atom_site_label
_atom_site_type_symbol
_atom_site_fract_x
_atom_site_fract_y
_atom_site_fract_z
K1 K 0.000 0.000 0.000
In1 In 0.250 0.250 0.750
Ir1 Ir 0.125 0.125 0.375
```

=====

The following is a DFT calculation (GGA-PBE) of a relaxed SrSnC2 crystal.

* DFT formation energy: 1.2049 eV/atom

```
data_SrSnC2
_space_group_name_H-M_alt 'I -4 2 d'
_space_group_IT_number 122
_space_group_name_Hall 'I -4 2bw'
_cell_length_a 5.204
_cell_length_b 5.204
_cell_length_c 12.281
_cell_angle_alpha 90.00
_cell_angle_beta 90.00
_cell_angle_gamma 90.00
loop_
_atom_site_label
_atom_site_type_symbol
_atom_site_fract_x
_atom_site_fract_y
_atom_site_fract_z
Sr1 Sr 0.000 0.000 0.000
Sn1 Sn 0.000 0.000 0.500
C1 C 0.149 0.250 0.625
```